1.
Entry from Alexandria: an optimized crystal structure of Zn2Fe2Pt (GGA-PBE).

The space group is P4/mbm (No. 127) and the conventional cell measures 7.080, 7.080 and 2.735 Å, with angles of 90.00, 90.00 and 90.00 degrees. Symmetry generates all atoms from Zn at (0.182, 0.318, 0.000), Fe at (0.114, 0.614, 0.500) and Pt at (0.000, 0.000, 0.500).

The value obtained for the energy above the lowest structure with this stoichiometry is 0.019 eV per atom. As for the calculated total energy: -5.02 eV per atom. As for the calculated density: 10.6 Mg/m³.


2.
Entry from Alexandria: an optimized crystal structure of KPu2OsO8 (GGA-PBE).

The space group is P-3 (No. 147) and the conventional cell measures 5.5614, 5.5614 and 7.3176 Å, with angles of 90.00, 90.00 and 120.00 degrees. Symmetry generates all atoms from K at (0.0000, 0.0000, 0.0000), Pu at (0.3333, 0.6667, 0.6192), Os at (0.0000, 0.0000, 0.5000), O at (0.0806, 0.7452, 0.3646) and O at (0.3333, 0.6667, 0.8728).

As for the calculated total energy: -8.64 eV per atom. As for the calculated density: 7.2 Mg/m³.


3.
Entry from Alexandria: an optimized crystal structure of Tl2BTeI (GGA-PBE).

The space group is P4/mmm (No. 123) and the conventional cell measures 6.512, 6.512 and 6.231 Å, with angles of 90.00, 90.00 and 90.00 degrees. Symmetry generates all atoms from Tl at (0.000, 0.500, 0.000), B at (0.000, 0.000, 0.500), Te at (0.500, 0.500, 0.000) and I at (0.500, 0.500, 0.500).

The value obtained for the energy above the lowest structure with this stoichiometry is 0.618 eV per atom. As for the calculated total energy: -2.08 eV per atom. As for the calculated density: 4.2 Mg/m³.


4.
Entry from Alexandria: an optimized crystal structure of CsTcAs2Se (GGA-PBE).

The space group is P4/mmm (No. 123) and the conventional cell measures 4.850, 4.850 and 5.634 Å, with angles of 90.00, 90.00 and 90.00 degrees. Symmetry generates all atoms from Cs at (0.000, 0.000, 0.000), Tc at (0.500, 0.500, 0.500), As at (0.000, 0.500, 0.500) and Se at (0.500, 0.500, 0.000).

The value obtained for the energy above the lowest structure with this stoichiometry is 0.000 eV per atom. As for the calculated total energy: -4.77 eV per atom. As for the calculated density: 5.8 Mg/m³.


5.
Entry from Alexandria: an optimized crystal structure of LiTbInRu (GGA-PBE).

The space group is F-43m (No. 216) and the conventional cell measures 6.740, 6.740 and 6.740 Å, with angles of 90.00, 90.00 and 90.00 degrees. Symmetry generates all atoms from Li at (0.000, 0.000, 0.000), Tb at (0.250, 0.250, 0.250), In at (0.250, 0.250, 0.750) and Ru at (0.000, 0.000, 0.500).

As for the calculated total energy: -4.91 eV per atom. As for the calculated density: 8.3 Mg/m³.


6.
Entry from Alexandria: an optimized crystal structure of LiGdBi2 (GGA-PBE).

The space group is Fm-3m (No. 225) and the conventional cell measures 7.654, 7.654 and 7.654 Å, with angles of 90.00, 90.00 and 90.00 degrees. Symmetry generates all atoms from Li at (0.000, 0.000, 0.000), Gd at (0.000, 0.000, 0.500) and Bi at (0.250, 0.250, 0.250).

The value obtained for the energy above the lowest structure with this stoichiometry is 0.088 eV per atom. As for the calculated total energy: -6.42 eV per atom. As for the calculated density: 8.6 Mg/m³.